A relaxed structure of Ho2Tm5Pb4. Source: Alexandria via LeMat-Bulk, functional PBE.

Cell: 11.8423 4.6774 11.6375 Å, 90.00 101.17 90.00°
Closest atoms and distances in Å follow each position.
Space group C2/m (No. 12)
Unique sites:
1 Ho 0.0626 0.0000 0.3035 (multiplicity 4)  4 Pb 3.17-3.47, 3 Tm 3.45-3.51
2 Tm 0.0000 0.5000 0.5000 (multiplicity 2)  2 Pb 3.33, 4 Ho 3.45, 4 Tm 3.47
3 Tm 0.1370 0.0000 0.9617 (multiplicity 4)  5 Pb 3.14-3.50, 1 Ho 3.51
4 Tm 0.2130 0.0000 0.6014 (multiplicity 4)  3 Pb 3.22-3.46, 4 Tm 3.47-3.55, 3 Ho 3.55-3.58
5 Pb 0.0990 0.5000 0.1306 (multiplicity 4)  4 Tm 3.14-3.50, 2 Ho 3.17, 2 Pb 3.42-3.46
6 Pb 0.1553 0.5000 0.7713 (multiplicity 4)  6 Tm 3.22-3.57, 1 Pb 3.42, 2 Ho 3.47

Fermi-level density of states in states/eV per cell: 20.7
VASP energy in eV per atom: -4.53
ΔH_f (0 K) in kcal/mol of atoms: -7.3
Magnetic moment in μB per formula unit: 0.0

A relaxed structure of NbIN3. Source: Alexandria via LeMat-Bulk, functional PBE.

Cell: 4.1475 4.1475 4.1475 Å, 90.00 90.00 90.00°
Closest atoms and distances in Å follow each position.
Space group Pm-3m (No. 221)
Unique sites:
1 Nb 0.0000 0.0000 0.0000 (multiplicity 1)  6 N 2.07
2 I 0.5000 0.5000 0.5000 (multiplicity 1)  12 N 2.93
3 N 0.0000 0.0000 0.5000 (multiplicity 3)  2 Nb 2.07

Fermi-level density of states in states/eV per cell: 3.0
VASP energy in eV per atom: -6.27
Magnetic moment in μB per formula unit: 0.0
Raw formation energy in eV per atom: 1.044

A relaxed structure of Li4Nd3Pt4. Source: Alexandria via LeMat-Bulk, functional PBE.

Cell: 3.8225 4.1691 14.2222 Å, 81.64 82.35 89.97°
Closest atoms and distances in Å follow each position.
Space group P-1 (No. 2)
Unique sites:
1 Li 0.0958 0.0950 0.3089 (multiplicity 2)  3 Pt 2.45-2.50
2 Li 0.2491 0.7491 0.0021 (multiplicity 2)  4 Pt 2.65-2.74, 4 Li 2.83
3 Nd 0.3540 0.3538 0.7914 (multiplicity 2)  6 Pt 3.03-3.30, 4 Li 3.15-3.16
4 Nd 0.5000 0.0000 0.5000 (multiplicity 1)  8 Pt 3.14-3.15, 4 Li 3.28
5 Pt 0.0487 0.5489 0.4013 (multiplicity 2)  2 Li 2.45
6 Pt 0.1850 0.1854 0.1295 (multiplicity 2)  5 Li 2.50-2.74

Fermi-level density of states in states/eV per cell: 5.3
VASP energy in eV per atom: -4.93
ΔH_f (0 K) in kcal/mol of atoms: -17.0
Magnetic moment in μB per formula unit: 0.0

What is the formula in the second record?
NbIN3

Which value of Fermi-level density of states does entry 1 give?
20.7 states/eV per cell